Compound: Hg4Se3Br
Source: the Alexandria database
Functional: GGA-PBE
Structure: relaxed

Values from the calculation:
The uncorrected formation energy is -0.176 eV per atom.

abc: 4.125 7.431 8.401
angles: 89.42 76.28 76.17
Atoms (fractional coordinates):
1 Hg 0.000 0.000 0.000
2 Hg 0.158 0.141 0.511
3 Hg 0.339 0.503 0.795
4 Hg 0.666 0.483 0.208
5 Se 0.268 0.228 0.206
6 Se 0.551 0.146 0.724
7 Se 0.694 0.693 0.948
8 Br 0.388 0.705 0.491